! HoThPt2, optimized geometry, DFT PBE; values from VASP
! Space-group type   Amm2, No. 38
! Mass density   13.4 g cm⁻³
! E above lowest polymorph   0.390 eV per atom
&SYSTEM
  ibrav = 0, nat = 8, ntyp = 3
/
ATOMIC_SPECIES
Ho 164.93 Ho.upf
Th 232.04 Th.upf
Pt 195.08 Pt.upf
ATOMIC_POSITIONS angstrom
Ho 0.0000 0.0000 0.0000
Ho 0.0000 3.5268 3.9822
Th 1.7412 0.0000 4.5687
Th 1.7412 3.5268 0.5865
Pt 0.0000 1.4627 2.2913
Pt 0.0000 2.0641 6.2735
Pt 0.0000 4.9894 6.2735
Pt 0.0000 5.5909 2.2913
CELL_PARAMETERS angstrom
3.4825 0.0000 0.0000
0.0000 7.0536 0.0000
0.0000 0.0000 7.9644


! Nd4GePtCl2, optimized geometry, DFT PBE; values from VASP
! Space-group type   P2/m, No. 10
! Mass density   6.9 g cm⁻³
! ΔE_f (raw)   -1.257 eV/atom
&SYSTEM
  ibrav = 0, nat = 8, ntyp = 4
/
ATOMIC_SPECIES
Nd 144.24 Nd.upf
Ge 72.64 Ge.upf
Pt 195.08 Pt.upf
Cl 35.45 Cl.upf
ATOMIC_POSITIONS angstrom
Nd 1.0401 0.0000 1.6531
Nd -0.1036 2.0879 5.3471
Nd 4.9978 2.0879 1.8395
Nd 3.8541 0.0000 5.5335
Ge -1.2110 0.0000 3.5933
Pt 0.0000 2.0879 0.0000
Cl 3.6581 0.0000 0.0000
Cl 2.4471 2.0879 3.5933
CELL_PARAMETERS angstrom
7.3162 0.0000 0.0000
0.0000 4.1759 0.0000
-2.4220 0.0000 7.1866


! HoIn2Br8, optimized geometry, DFT PBE; values from VASP
! Space-group type   C2/m, No. 12
! Mass density   3.7 g cm⁻³
! ΔE_f (raw)   -1.064 eV/atom
&SYSTEM
  ibrav = 0, nat = 11, ntyp = 3
/
ATOMIC_SPECIES
Ho 164.93 Ho.upf
In 114.82 In.upf
Br 79.90 Br.upf
ATOMIC_POSITIONS angstrom
Ho 0.0000 0.0000 0.0000
In 2.0579 0.0000 4.4390
In 11.4894 0.0000 2.5709
Br 5.8849 2.6756 1.5503
Br 2.2365 0.0000 1.7277
Br 7.6624 2.6756 5.4596
Br 4.4401 0.0000 5.2898
Br 9.1072 0.0000 1.7201
Br 5.8849 -2.6756 1.5503
Br 11.3108 0.0000 5.2822
Br 7.6624 -2.6756 5.4596
CELL_PARAMETERS angstrom
7.2289 -4.5903 0.0000
7.2289 4.5903 0.0000
-0.9105 0.0000 7.0099


! Sm2ScPb, optimized geometry, DFT PBE; values from VASP
! Space-group type   P4/mmm, No. 123
! Mass density   8.2 g cm⁻³
! E above lowest polymorph   0.000 eV per atom
&SYSTEM
  ibrav = 0, nat = 4, ntyp = 3
/
ATOMIC_SPECIES
Sm 150.36 Sm.upf
Sc 44.96 Sc.upf
Pb 207.20 Pb.upf
ATOMIC_POSITIONS angstrom
Sm 0.0000 2.3983 0.0000
Sm 2.3983 0.0000 0.0000
Sc 0.0000 0.0000 2.4312
Pb 2.3983 2.3983 2.4312
CELL_PARAMETERS angstrom
4.7966 0.0000 0.0000
0.0000 4.7966 0.0000
0.0000 0.0000 4.8625


The highest mass density belongs to which entry? HoThPt2